## Ca2ZrRu (meta-GGA SCAN)

Data for Ca2ZrRu at its PBEsol-relaxed geometry.

Results
Symmetry: P4/mmm (123)
Formation enthalpy at 0 K, eV per atom: 0.298
M_tot, μB per formula unit: 0.00
Polymorph energy (0 for the lowest one), meV/atom: 426
ρ, g cm⁻³: 5.3

Unit cell a=4.0392 b=4.0392 c=5.2269 alpha=90.00 beta=90.00 gamma=90.00
Sites, in units of the cell vectors:
Ca: 0.0000 0.5000 0.0000
Ca: 0.5000 0.0000 0.0000
Zr: 0.0000 0.0000 0.5000
Ru: 0.5000 0.5000 0.5000



## MoRu7 (meta-GGA SCAN)

Data for MoRu7 at its PBEsol-relaxed geometry.

Results
Symmetry: Fm-3m (225)
Formation enthalpy at 0 K, eV per atom: 0.092
M_tot, μB per formula unit: 0.00
ρ, g cm⁻³: 12.3

Unit cell a=5.3538 b=5.3538 c=5.3538 alpha=60.00 beta=60.00 gamma=60.00
Sites, in units of the cell vectors:
Mo: 0.0000 0.0000 0.0000
Ru: 0.0000 0.0000 0.5000
Ru: 0.0000 0.5000 0.0000
Ru: 0.0000 0.5000 0.5000
Ru: 0.5000 0.0000 0.0000
Ru: 0.5000 0.0000 0.5000
Ru: 0.5000 0.5000 0.0000
Ru: 0.5000 0.5000 0.5000



## Li2InIr (meta-GGA SCAN)

Data for Li2InIr at its PBEsol-relaxed geometry.

Results
Symmetry: F-43m (216)
Formation enthalpy at 0 K, eV per atom: -0.352
M_tot, μB per formula unit: 0.00
ρ, g cm⁻³: 8.8

Unit cell a=4.4085 b=4.4085 c=4.4085 alpha=60.00 beta=60.00 gamma=60.00
Sites, in units of the cell vectors:
Li: 0.0000 0.0000 0.0000
Li: 0.2500 0.2500 0.2500
In: 0.5000 0.5000 0.5000
Ir: 0.7500 0.7500 0.7500



## HgOs2Ru (meta-GGA SCAN)

Data for HgOs2Ru at its PBEsol-relaxed geometry.

Results
Symmetry: P2/m (10)
Formation enthalpy at 0 K, eV per atom: 0.910
M_tot, μB per formula unit: 2.94
ρ, g cm⁻³: 18.2

Unit cell a=2.7326 b=4.7267 c=4.8191 alpha=90.00 beta=90.84 gamma=90.00
Sites, in units of the cell vectors:
Hg: 0.0000 0.0000 0.0000
Os: 0.2251 0.5000 0.2715
Os: 0.7749 0.5000 0.7285
Ru: 0.5000 0.0000 0.5000



## CsYB4H16 (meta-GGA SCAN)

Data for CsYB4H16 at its PBEsol-relaxed geometry.

Results
Symmetry: I4_1/a (88)
M_tot, μB per formula unit: 0.00
Electronic total energy, eV per atom: -7.237
ρ, g cm⁻³: 1.9

Unit cell a=10.3503 b=10.3503 c=10.3503 alpha=138.20 beta=138.20 gamma=60.60
Sites, in units of the cell vectors:
Cs: 0.3750 0.1250 0.2500
Cs: 0.6250 0.8750 0.7500
Y: 0.1250 0.3750 0.7500
Y: 0.8750 0.6250 0.2500
B: 0.0795 0.1918 0.3767
B: 0.2028 0.5795 0.3877
B: 0.3082 0.1849 0.8877
B: 0.3151 0.7028 0.1233
B: 0.6849 0.2972 0.8767
B: 0.6918 0.8151 0.1123
B: 0.7972 0.4205 0.6123
B: 0.9205 0.8082 0.6233
H: 0.0047 0.0937 0.3408
H: 0.0052 0.3456 0.4331
H: 0.0532 0.1018 0.1898
H: 0.0722 0.5052 0.1596
H: 0.1544 0.0875 0.6596
H: 0.1638 0.5047 0.4110
H: 0.1693 0.6879 0.9318
H: 0.1879 0.7562 0.5186
H: 0.2528 0.6638 0.1592
H: 0.2562 0.2376 0.5682
H: 0.2624 0.3307 0.0186
H: 0.3634 0.5532 0.4514
H: 0.3982 0.0880 0.9514
H: 0.4063 0.2472 0.9110
H: 0.4120 0.8634 0.3102
H: 0.4125 0.5722 0.0669
H: 0.5875 0.4278 0.9331
H: 0.5880 0.1366 0.6898
H: 0.5937 0.7528 0.0890
H: 0.6018 0.9120 0.0486
H: 0.6366 0.4468 0.5486
H: 0.7376 0.6693 0.9814
H: 0.7438 0.7624 0.4318
H: 0.7472 0.3362 0.8408
H: 0.8121 0.2438 0.4814
H: 0.8307 0.3121 0.0682
H: 0.8362 0.4953 0.5890
H: 0.8456 0.9125 0.3404
H: 0.9278 0.4948 0.8404
H: 0.9468 0.8982 0.8102
H: 0.9948 0.6544 0.5669
H: 0.9953 0.9063 0.6592



## TlInBr2 (meta-GGA SCAN)

Data for TlInBr2 at its PBEsol-relaxed geometry.

Results
Symmetry: P4mm (99)
M_tot, μB per formula unit: 0.00
Polymorph energy (0 for the lowest one), meV/atom: 23
ρ, g cm⁻³: 5.8

Unit cell a=4.5682 b=4.5682 c=6.5439 alpha=90.00 beta=90.00 gamma=90.00
Sites, in units of the cell vectors:
Tl: 0.0000 0.0000 0.0000
In: 0.5000 0.5000 0.4767
Br: 0.0000 0.0000 0.5104
Br: 0.5000 0.5000 0.9452



## CdAu (meta-GGA SCAN)

Data for CdAu at its PBEsol-relaxed geometry.

Results
Symmetry: Pbcm (57)
Formation enthalpy at 0 K, eV per atom: -0.214
M_tot, μB per formula unit: 0.00
ρ, g cm⁻³: 13.8

Unit cell a=9.5526 b=8.2221 c=5.6818 alpha=90.00 beta=90.00 gamma=90.00
Sites, in units of the cell vectors:
Cd: 0.1224 0.2500 0.0000
Cd: 0.1224 0.2500 0.5000
Cd: 0.1660 0.6313 0.2500
Cd: 0.1660 0.8687 0.7500
Cd: 0.3715 0.0472 0.2500
Cd: 0.3715 0.4528 0.7500
Cd: 0.6285 0.5472 0.2500
Cd: 0.6285 0.9528 0.7500
Cd: 0.8340 0.1313 0.2500
Cd: 0.8340 0.3687 0.7500
Cd: 0.8776 0.7500 0.0000
Cd: 0.8776 0.7500 0.5000
Au: 0.0835 0.5486 0.7500
Au: 0.0835 0.9514 0.2500
Au: 0.3594 0.1107 0.7500
Au: 0.3594 0.3893 0.2500
Au: 0.4079 0.7500 0.0000
Au: 0.4079 0.7500 0.5000
Au: 0.5921 0.2500 0.0000
Au: 0.5921 0.2500 0.5000
Au: 0.6406 0.6107 0.7500
Au: 0.6406 0.8893 0.2500
Au: 0.9165 0.0486 0.7500
Au: 0.9165 0.4514 0.2500



## La2SiSeO4 (meta-GGA SCAN)

Data for La2SiSeO4 at its PBEsol-relaxed geometry.

Results
Symmetry: Pbcm (57)
M_tot, μB per formula unit: 0.00
Electronic total energy, eV per atom: -21.022
ρ, g cm⁻³: 5.9

Unit cell a=6.2609 b=7.2741 c=11.1203 alpha=90.00 beta=90.00 gamma=90.00
Sites, in units of the cell vectors:
La: 0.1066 0.2500 0.0000
La: 0.1066 0.2500 0.5000
La: 0.3739 0.5370 0.2500
La: 0.3739 0.9630 0.7500
La: 0.6261 0.0370 0.2500
La: 0.6261 0.4630 0.7500
La: 0.8934 0.7500 0.0000
La: 0.8934 0.7500 0.5000
Si: 0.3884 0.7500 0.0000
Si: 0.3884 0.7500 0.5000
Si: 0.6116 0.2500 0.0000
Si: 0.6116 0.2500 0.5000
Se: 0.0826 0.6020 0.7500
Se: 0.0826 0.8980 0.2500
Se: 0.9174 0.1020 0.7500
Se: 0.9174 0.3980 0.2500
O: 0.2317 0.5763 0.0332
O: 0.2317 0.5763 0.4668
O: 0.2317 0.9237 0.5332
O: 0.2317 0.9237 0.9668
O: 0.4506 0.2327 0.6170
O: 0.4506 0.2327 0.8830
O: 0.4506 0.2673 0.1170
O: 0.4506 0.2673 0.3830
O: 0.5494 0.7327 0.6170
O: 0.5494 0.7327 0.8830
O: 0.5494 0.7673 0.1170
O: 0.5494 0.7673 0.3830
O: 0.7683 0.0763 0.0332
O: 0.7683 0.0763 0.4668
O: 0.7683 0.4237 0.5332
O: 0.7683 0.4237 0.9668



## KSr2In2 (meta-GGA SCAN)

Data for KSr2In2 at its PBEsol-relaxed geometry.

Results
Symmetry: I4/mmm (139)
Formation enthalpy at 0 K, eV per atom: -0.269
M_tot, μB per formula unit: 0.00
Polymorph energy (0 for the lowest one), meV/atom: 94
ρ, g cm⁻³: 3.6

Unit cell a=6.8177 b=6.8177 c=6.8177 alpha=125.58 beta=125.58 gamma=80.58
Sites, in units of the cell vectors:
K: 0.0000 0.0000 0.0000
Sr: 0.2500 0.7500 0.5000
Sr: 0.7500 0.2500 0.5000
In: 0.3690 0.3690 0.0000
In: 0.6310 0.6310 0.0000



## MnBe4Al (meta-GGA SCAN)

Data for MnBe4Al at its PBEsol-relaxed geometry.

Results
Symmetry: F-43m (216)
Formation enthalpy at 0 K, eV per atom: -0.203
M_tot, μB per formula unit: 2.18
ρ, g cm⁻³: 3.6

Unit cell a=4.2626 b=4.2626 c=4.2626 alpha=60.00 beta=60.00 gamma=60.00
Sites, in units of the cell vectors:
Mn: 0.0000 0.0000 0.0000
Be: 0.3733 0.3733 0.3733
Be: 0.3733 0.3733 0.8800
Be: 0.3733 0.8800 0.3733
Be: 0.8800 0.3733 0.3733
Al: 0.7500 0.7500 0.7500



## BeW2Cl (meta-GGA SCAN)

Data for BeW2Cl at its PBEsol-relaxed geometry.

Results
Symmetry: R-3m (166)
M_tot, μB per formula unit: 0.00
Polymorph energy (0 for the lowest one), meV/atom: 0
ρ, g cm⁻³: 12.3

Unit cell a=8.3506 b=8.3506 c=8.3506 alpha=19.32 beta=19.32 gamma=19.32
Sites, in units of the cell vectors:
Be: 0.0000 0.0000 0.0000
W: 0.2515 0.2515 0.2515
W: 0.7485 0.7485 0.7485
Cl: 0.5000 0.5000 0.5000



## Li2BePt (meta-GGA SCAN)

Data for Li2BePt at its PBEsol-relaxed geometry.

Results
Symmetry: P4mm (99)
Formation enthalpy at 0 K, eV per atom: -0.507
M_tot, μB per formula unit: 0.00
ρ, g cm⁻³: 6.6

Unit cell a=2.8593 b=2.8593 c=6.6864 alpha=90.00 beta=90.00 gamma=90.00
Sites, in units of the cell vectors:
Li: 0.0000 0.0000 0.0000
Li: 0.5000 0.5000 0.3304
Be: 0.5000 0.5000 0.7465
Pt: 0.0000 0.0000 0.5864